Material: DyY3Er2Sb2Os
Method: DFT, GGA-PBE
State: relaxed

Lattice parameters (Å, degrees): 4.2168 8.1735 8.1735 120.15 90.00 90.00
Atoms (fractional coordinates):
Dy1 0.0000 0.7644 0.7644
Er1 0.0000 0.2356 0.0000
Er2 0.0000 0.0000 0.2356
Os1 0.5000 0.0028 0.0028
Sb1 0.0000 0.6666 0.3319
Sb2 0.0000 0.3319 0.6666
Y1 0.5000 0.6040 0.0002
Y2 0.5000 0.3945 0.3945
Y3 0.5000 0.0002 0.6040

Calculated values
* E: -6.5379 eV per atom
* SG: Amm2, No. 38

=====

Material: HfZnNiW
Method: DFT, GGA-PBE
State: relaxed

Lattice parameters (Å, degrees): 4.4830 4.4830 4.4830 60.00 60.00 60.00
Atoms (fractional coordinates):
Hf1 0.2500 0.2500 0.2500
Ni1 0.7500 0.7500 0.7500
W1 0.5000 0.5000 0.5000
Zn1 0.0000 0.0000 0.0000

Calculated values
* E: -7.0504 eV per atom
* SG: F-43m, No. 216

=====

Material: CsAg2
Method: DFT, GGA-PBE
State: relaxed

Lattice parameters (Å, degrees): 6.4544 6.4544 6.4544 133.44 99.22 98.75
Atoms (fractional coordinates):
Ag1 0.4189 0.3401 0.0789
Ag2 0.7612 0.3401 0.4211
Ag3 0.2388 0.6599 0.5789
Ag4 0.5811 0.6599 0.9211
Cs1 0.1747 0.9247 0.2500
Cs2 0.8253 0.0753 0.7500

Calculated values
* E: -2.0400 eV per atom
* SG: Imma, No. 74

=====

Material: Tm5NiTe3
Method: DFT, GGA-PBE
State: relaxed

Lattice parameters (Å, degrees): 8.1694 8.1694 3.9742 90.00 90.00 120.00
Atoms (fractional coordinates):
Ni1 0.0000 0.0000 0.0000
Te1 0.2646 0.0000 0.5000
Te2 0.0000 0.2646 0.5000
Te3 0.7354 0.7354 0.5000
Tm1 0.6697 0.0000 0.0000
Tm2 0.3303 0.3303 0.0000
Tm3 0.0000 0.6697 0.0000
Tm4 0.6667 0.3333 0.5000
Tm5 0.3333 0.6667 0.5000

Calculated values
* SG: P-62m, No. 189
* energy relative to the lowest polymorph listed for this composition: 73.3 meV per atom

=====

Material: PrNd3As2Cl2
Method: DFT, GGA-PBE
State: relaxed

Lattice parameters (Å, degrees): 4.1758 4.1758 14.4102 90.00 90.00 120.00
Atoms (fractional coordinates):
As1 0.3333 0.6667 0.5004
As2 0.3333 0.6667 0.9982
Cl1 0.6667 0.3333 0.2522
Cl2 0.0000 0.0000 0.7494
Nd1 0.0000 0.0000 0.3912
Nd2 0.6667 0.3333 0.6095
Nd3 0.6667 0.3333 0.8892
Pr1 0.0000 0.0000 0.1099

Calculated values
* E: -5.5300 eV per atom
* SG: P3m1, No. 156

=====

Material: Nb2AlMo
Method: DFT, GGA-PBE
State: relaxed

Lattice parameters (Å, degrees): 4.5701 4.5701 4.5701 60.00 60.00 60.00
Site moments in Bohr magnetons follow the coordinates.
Atoms (fractional coordinates):
Al1 0.0000 0.0000 0.0000  0.00
Mo1 0.7500 0.7500 0.7500  0.03
Nb1 0.2500 0.2500 0.2500  0.15
Nb2 0.5000 0.5000 0.5000  0.01

Calculated values
* E: -8.7379 eV per atom
* SG: F-43m, No. 216

=====

Material: DyHgSO
Method: DFT, GGA-PBE
State: relaxed

Lattice parameters (Å, degrees): 3.9319 3.9319 9.9633 90.00 90.00 90.00
Atoms (fractional coordinates):
Dy1 0.2500 0.2500 0.1106
Dy2 0.7500 0.7500 0.8894
Hg1 0.7500 0.2500 0.5000
Hg2 0.2500 0.7500 0.5000
O1 0.7500 0.2500 0.0000
O2 0.2500 0.7500 0.0000
S1 0.7500 0.7500 0.2603
S2 0.2500 0.2500 0.7397

Calculated values
* SG: P4/nmm, No. 129
* energy relative to the lowest polymorph listed for this composition: 125.1 meV per atom

=====

Material: Co3CuS8
Method: DFT, GGA-PBE
State: relaxed

Lattice parameters (Å, degrees): 5.5430 5.5430 5.5430 90.09 90.09 90.09
Site moments in Bohr magnetons follow the coordinates.
Atoms (fractional coordinates):
Co1 0.5000 0.5000 0.0000  0.67
Co2 0.5000 0.0000 0.5000  0.58
Co3 0.0000 0.5000 0.5000  0.58
Cu1 0.0000 0.0000 0.0000  -0.05
S1 0.8836 0.5968 0.1157  0.00
S2 0.4032 0.8843 0.1164  0.00
S3 0.3865 0.3865 0.3865  0.03
S4 0.8843 0.1164 0.4032  0.00
S5 0.1157 0.8836 0.5968  0.00
S6 0.6135 0.6135 0.6135  0.03
S7 0.5968 0.1157 0.8836  0.00
S8 0.1164 0.4032 0.8843  0.00

Calculated values
* SG: R-3, No. 148
* energy relative to the lowest polymorph listed for this composition: 0.0 meV per atom

=====

Material: BaLiDy
Method: DFT, GGA-PBE
State: relaxed

Lattice parameters (Å, degrees): 5.4893 5.4893 5.4893 60.00 60.00 60.00
Atoms (fractional coordinates):
Ba1 0.2500 0.2500 0.2500
Dy1 0.0000 0.0000 0.0000
Li1 0.7500 0.7500 0.7500

Calculated values
* E: -2.0858 eV per atom
* SG: F-43m, No. 216

=====

Material: AcAsAu
Method: DFT, GGA-PBE
State: relaxed

Lattice parameters (Å, degrees): 4.9697 4.9697 4.9697 60.00 60.00 60.00
Atoms (fractional coordinates):
Ac1 0.2500 0.2500 0.2500
As1 0.7500 0.7500 0.7500
Au1 0.0000 0.0000 0.0000

Calculated values
* SG: F-43m, No. 216
* energy relative to the lowest polymorph listed for this composition: 0.0 meV per atom

=====

Material: MgNbSi
Method: DFT, GGA-PBE
State: relaxed

Lattice parameters (Å, degrees): 4.3235 4.3235 4.3235 60.00 60.00 60.00
Atoms (fractional coordinates):
Mg1 0.2500 0.2500 0.2500
Nb1 0.7500 0.7500 0.7500
Si1 0.0000 0.0000 0.0000

Calculated values
* E: -5.5436 eV per atom
* SG: F-43m, No. 216

=====

Material: TlTcB2
Method: DFT, GGA-PBE
State: relaxed

Lattice parameters (Å, degrees): 4.2946 4.2946 4.2946 60.00 60.00 60.00
Site moments in Bohr magnetons follow the coordinates.
Atoms (fractional coordinates):
B1 0.2500 0.2500 0.2500  -0.01
B2 0.5000 0.5000 0.5000  0.01
Tc1 0.0000 0.0000 0.0000  0.16
Tl1 0.7500 0.7500 0.7500  0.00

Calculated values
* E: -4.4980 eV per atom
* SG: F-43m, No. 216

=====

Material: LiHf2Pb
Method: DFT, GGA-PBE
State: relaxed

Lattice parameters (Å, degrees): 4.9966 4.9966 4.9966 60.00 60.00 60.00
Site moments in Bohr magnetons follow the coordinates.
Atoms (fractional coordinates):
Hf1 0.0000 0.0000 0.0000  0.91
Hf2 0.7500 0.7500 0.7500  0.76
Li1 0.2500 0.2500 0.2500  0.01
Pb1 0.5000 0.5000 0.5000  -0.02

Calculated values
* E: -6.0628 eV per atom
* SG: F-43m, No. 216

=====

Material: BaMg2CdHg
Method: DFT, GGA-PBE
State: relaxed

Lattice parameters (Å, degrees): 7.3489 7.3489 7.3489 142.56 142.56 53.98
Atoms (fractional coordinates):
Ba1 0.9988 0.9988 0.0000
Cd1 0.6148 0.6148 0.0000
Hg1 0.3837 0.3837 0.0000
Mg1 0.7513 0.2513 0.5000
Mg2 0.2513 0.7513 0.5000

Calculated values
* E: -1.5391 eV per atom
* SG: I4mm, No. 107

=====

Material: Zr2Mo
Method: DFT, GGA-PBE
State: relaxed

Lattice parameters (Å, degrees): 5.2607 5.2607 5.0951 90.00 90.00 60.00
Atoms (fractional coordinates):
Mo1 0.0000 0.0000 0.0000
Mo2 0.3333 0.3333 0.0000
Zr1 0.6667 0.6667 0.0000
Zr2 0.6667 0.0226 0.5000
Zr3 0.0226 0.3107 0.5000
Zr4 0.3107 0.6667 0.5000

Calculated values
* SG: P-62m, No. 189
* energy relative to the lowest polymorph listed for this composition: 275.4 meV per atom

=====

Material: SmBiAsO
Method: DFT, GGA-PBE
State: relaxed

Lattice parameters (Å, degrees): 4.2773 4.2773 10.1227 90.00 90.00 90.00
Atoms (fractional coordinates):
As1 0.0000 0.5000 0.2669
As2 0.5000 0.0000 0.7331
Bi1 0.0000 0.0000 0.5000
Bi2 0.5000 0.5000 0.5000
O1 0.0000 0.0000 0.0000
O2 0.5000 0.5000 0.0000
Sm1 0.5000 0.0000 0.0983
Sm2 0.0000 0.5000 0.9017

Calculated values
* SG: P4/nmm, No. 129
* energy relative to the lowest polymorph listed for this composition: 0.0 meV per atom

=====

Material: AgAsIr2
Method: DFT, GGA-PBE
State: relaxed

Lattice parameters (Å, degrees): 4.4870 4.4870 4.4870 60.00 60.00 60.00
Atoms (fractional coordinates):
Ag1 0.2500 0.2500 0.2500
As1 0.5000 0.5000 0.5000
Ir1 0.0000 0.0000 0.0000
Ir2 0.7500 0.7500 0.7500

Calculated values
* E: -5.8003 eV per atom
* SG: F-43m, No. 216

=====

Material: LiAlCuPt
Method: DFT, GGA-PBE
State: relaxed

Lattice parameters (Å, degrees): 4.2070 4.2070 4.2070 60.00 60.00 60.00
Atoms (fractional coordinates):
Al1 0.0000 0.0000 0.0000
Cu1 0.2500 0.2500 0.2500
Li1 0.5000 0.5000 0.5000
Pt1 0.7500 0.7500 0.7500

Calculated values
* SG: F-43m, No. 216
* energy relative to the lowest polymorph listed for this composition: 0.0 meV per atom

=====

Material: Hf3Hg4As4
Method: DFT, GGA-PBE
State: relaxed

Lattice parameters (Å, degrees): 7.1812 3.8249 8.7496 90.00 94.39 90.00
Atoms (fractional coordinates):
As1 0.1404 0.5000 0.2482
As2 0.6782 0.5000 0.3067
As3 0.4576 0.0000 0.5634
As4 0.7979 0.0000 0.8718
Hf1 0.8871 0.0000 0.1725
Hf2 0.4027 0.0000 0.2585
Hf3 0.7133 0.5000 0.6435
Hg1 0.9828 0.0000 0.5150
Hg2 0.2177 0.5000 0.6958
Hg3 0.1924 0.0000 0.9497
Hg4 0.5279 0.5000 0.9724

Calculated values
* E: -4.8210 eV per atom
* SG: Pm, No. 6

=====

Material: Ga2Ge2Os5
Method: DFT, GGA-PBE
State: relaxed

Lattice parameters (Å, degrees): 11.7463 11.7463 11.7463 19.46 19.46 19.46
Atoms (fractional coordinates):
Ga1 0.0706 0.0706 0.0706
Ga2 0.9199 0.9199 0.9199
Ge1 0.5451 0.5451 0.5451
Ge2 0.6964 0.6964 0.6964
Os1 0.4658 0.4658 0.4658
Os2 0.6228 0.6228 0.6228
Os3 0.7723 0.7723 0.7723
Os4 0.8460 0.8460 0.8460
Os5 0.9931 0.9931 0.9931

Calculated values
* E: -7.4781 eV per atom
* SG: R3m, No. 160

=====

Material: TaSnTe
Method: DFT, GGA-PBE
State: relaxed

Lattice parameters (Å, degrees): 4.8217 4.8217 4.8217 60.00 60.00 60.00
Atoms (fractional coordinates):
Sn1 0.2500 0.2500 0.2500
Ta1 0.7500 0.7500 0.7500
Te1 0.0000 0.0000 0.0000

Calculated values
* E: -5.4128 eV per atom
* SG: F-43m, No. 216

=====

Material: Tc2Sb9
Method: DFT, GGA-PBE
State: relaxed

Lattice parameters (Å, degrees): 8.6776 8.6776 8.7057 96.95 96.95 104.97
Atoms (fractional coordinates):
Sb1 0.8351 0.6723 0.0597
Sb2 0.5920 0.2938 0.0706
Sb3 0.2834 0.9507 0.1210
Sb4 0.9882 0.3465 0.2027
Sb5 0.4230 0.5770 0.2500
Sb6 0.6535 0.0118 0.2973
Sb7 0.0493 0.7166 0.3790
Sb8 0.7062 0.4080 0.4294
Sb9 0.3277 0.1649 0.4403
Sb10 0.6723 0.8351 0.5597
Sb11 0.2938 0.5920 0.5706
Sb12 0.9507 0.2834 0.6210
Sb13 0.3465 0.9882 0.7027
Sb14 0.5770 0.4230 0.7500
Sb15 0.0118 0.6535 0.7973
Sb16 0.7166 0.0493 0.8790
Sb17 0.4080 0.7062 0.9294
Sb18 0.1649 0.3277 0.9403
Tc1 0.1470 0.6226 0.0936
Tc2 0.3774 0.8530 0.4064
Tc3 0.6226 0.1470 0.5936
Tc4 0.8530 0.3774 0.9064

Calculated values
* E: -5.1808 eV per atom
* SG: C2/c, No. 15

=====

Material: Cu2Ag3
Method: DFT, GGA-PBE
State: relaxed

Lattice parameters (Å, degrees): 7.6308 7.6308 7.5264 104.45 104.45 21.50
Atoms (fractional coordinates):
Ag1 0.4019 0.4019 0.1848
Ag2 0.6010 0.6010 0.2641
Ag3 0.8020 0.8020 0.4047
Ag4 0.9993 0.9993 0.5141
Ag5 0.1983 0.1983 0.6105
Ag6 0.6006 0.6006 0.8361
Cu1 0.2158 0.2158 0.0957
Cu2 0.3946 0.3946 0.7168
Cu3 0.8009 0.8009 0.8969
Cu4 0.9857 0.9857 0.9763

Calculated values
* SG: Cm, No. 8
* energy relative to the lowest polymorph listed for this composition: 41.3 meV per atom

=====

Material: NbGePt
Method: DFT, GGA-PBE
State: relaxed

Lattice parameters (Å, degrees): 6.4996 3.9784 7.5757 90.00 90.00 90.00
Atoms (fractional coordinates):
Ge1 0.2616 0.7500 0.1240
Ge2 0.7616 0.7500 0.3760
Ge3 0.2384 0.2500 0.6240
Ge4 0.7384 0.2500 0.8760
Nb1 0.9716 0.2500 0.1710
Nb2 0.4716 0.2500 0.3290
Nb3 0.5284 0.7500 0.6710
Nb4 0.0284 0.7500 0.8290
Pt1 0.6537 0.7500 0.0641
Pt2 0.1537 0.7500 0.4359
Pt3 0.8463 0.2500 0.5641
Pt4 0.3463 0.2500 0.9359

Calculated values
* E: -7.4600 eV per atom
* SG: Pnma, No. 62